# Fe6Ir16Ru7, optimized geometry, DFT PBE
# energy: -8.421 eV/atom
# formation energy: 44.1 kJ per mole of atoms
# DOS at the Fermi energy: 0.9162 states/eV per atom
data_Fe6Ir16Ru7
_chemical_formula_sum 'Fe24 Ir64 Ru28'
_cell_length_a 12.139
_cell_length_b 12.139
_cell_length_c 12.139
_cell_angle_alpha 90.00
_cell_angle_beta 90.00
_cell_angle_gamma 90.00
_symmetry_space_group_name_H-M 'F m -3 m'
_symmetry_Int_Tables_number 225
_symmetry_space_group_name_Hall '-F 4 2 3'
loop_
_atom_site_label
_atom_site_fract_x
_atom_site_fract_y
_atom_site_fract_z
_atom_site_occupancy
Fe1 0.000 0.000 0.224 1
Ir1 0.127 0.127 0.373 1
Ir2 0.144 0.144 0.144 1
Ru1 0.000 0.000 0.500 1
Ru2 0.000 0.250 0.250 1